Entry 1:
A relaxed Li3FeS3 crystal, computed with PBE.

**Energy above the most stable polymorph in this dataset**: 38.4 meV per atom
**Formation energy without anion corrections**: -6.1 eV per formula unit

Cell: 7.043 11.351 6.318 Å, 90.00 100.96 90.00°
Space group C2/m (No. 12)
Asymmetric unit:
Li: 0.000 0.177 0.000 x4
Li: 0.000 0.242 0.500 x4
Li: 0.070 0.500 0.821 x4
Fe: 0.171 0.000 0.633 x4
S: 0.120 0.000 0.268 x4
S: 0.176 0.338 0.242 x8


Entry 2:
A relaxed Li14Fe2S9 crystal, computed with PBE.

**Formation energy without anion corrections**: -28.4 eV per formula unit

Cell: 7.0193 7.0193 9.8557 Å, 90.00 90.00 120.00°
Space group P-3 (No. 147)
Asymmetric unit:
Li: 0.0000 0.0000 0.2501 x2
Li: 0.0181 0.6720 0.4104 x6
Li: 0.0387 0.3628 0.0911 x6
Fe: 0.3333 0.6667 0.7563 x2
S: 0.0000 0.0000 0.5000 x1
S: 0.0319 0.3422 0.8378 x6
S: 0.3333 0.6667 0.5186 x2


Entry 3:
A relaxed Li3FeS3 crystal, computed with PBE.

**Energy above the most stable polymorph in this dataset**: 0.0 meV per atom
**Formation energy without anion corrections**: -6.4 eV per formula unit

Cell: 6.626 6.343 12.957 Å, 90.00 117.34 90.00°
Space group P2_1/c (No. 14)
Asymmetric unit:
Li: 0.034 0.013 0.287 x4
Li: 0.414 0.004 0.609 x4
Li: 0.462 0.001 0.116 x4
Fe: 0.006 0.136 0.927 x4
S: 0.006 0.715 0.408 x4
S: 0.307 0.747 0.728 x4
S: 0.328 0.241 0.437 x4


Entry 4:
A relaxed Li2Fe3S4 crystal, computed with PBE.

**Energy above the most stable polymorph in this dataset**: 34.1 meV per atom
**Formation energy without anion corrections**: -4.5 eV per formula unit

Cell: 16.059 6.561 6.097 Å, 90.00 108.85 90.00°
Space group C2/c (No. 15)
Asymmetric unit:
Li: 0.091 0.100 0.445 x8
Fe: 0.000 0.496 0.750 x4
Fe: 0.183 0.386 0.041 x8
S: 0.052 0.253 0.048 x8
S: 0.207 0.300 0.706 x8